[1]
First-principles (PBE-GGA) data for a relaxed Tb4P2Se crystal, as listed in Alexandria.

a = 3.982 Å, b = 3.982 Å, c = 13.323 Å
α = 81.41°, β = 81.41°, γ = 60.00°
Positions (direct):
P: 0.420 0.420 0.740
P: 0.580 0.580 0.260
Se: 0.000 0.000 0.000
Tb: 0.873 0.873 0.381
Tb: 0.714 0.714 0.859
Tb: 0.286 0.286 0.141
Tb: 0.127 0.127 0.619

E_tot	-6.129	eV/atom
energy relative to the elements, uncorrected	-1.440	eV per atom
density	7.16	g/cm3



[2]
First-principles (PBE-GGA) data for a relaxed Tb5PSe5 crystal, as listed in Alexandria.

a = 5.766 Å, b = 8.128 Å, c = 7.067 Å
α = 106.85°, β = 114.07°, γ = 90.00°
Positions (direct):
Se: 0.668 0.833 0.336
Se: 0.000 0.500 0.000
Se: 0.331 0.665 0.662
Se: 0.332 0.167 0.664
Se: 0.669 0.335 0.338
Tb: 0.842 0.167 0.684
Tb: 0.500 0.000 0.000
Tb: 0.160 0.327 0.321
Tb: 0.158 0.833 0.316
Tb: 0.840 0.673 0.679
P: 0.000 0.000 0.000

E_tot	-6.040	eV/atom
energy relative to the elements, uncorrected	-1.860	eV per atom
density	7.07	g/cm3



[3]
First-principles (PBE-GGA) data for a relaxed Tb3P5Se12 crystal, as listed in Alexandria.

a = 13.787 Å, b = 13.787 Å, c = 13.787 Å
α = 109.47°, β = 109.47°, γ = 109.47°
Positions (direct):
Se: 0.464 0.673 0.091
Se: 0.673 0.209 0.582
Se: 0.709 0.127 0.036
Se: 0.091 0.173 0.464
Se: 0.827 0.918 0.291
Se: 0.964 0.373 0.291
Se: 0.918 0.091 0.627
Se: 0.173 0.082 0.709
Se: 0.327 0.791 0.418
Se: 0.909 0.827 0.536
Se: 0.536 0.327 0.909
Se: 0.209 0.536 0.627
Se: 0.591 0.627 0.418
Se: 0.409 0.373 0.582
Se: 0.827 0.909 0.036
Se: 0.373 0.409 0.082
Se: 0.091 0.918 0.127
Se: 0.291 0.418 0.827
Se: 0.536 0.209 0.127
Se: 0.909 0.082 0.873
Se: 0.464 0.791 0.873
Se: 0.082 0.173 0.209
Se: 0.173 0.091 0.964
Se: 0.373 0.964 0.791
Se: 0.127 0.709 0.536
Se: 0.036 0.409 0.827
Se: 0.291 0.873 0.964
Se: 0.082 0.909 0.373
Se: 0.327 0.536 0.409
Se: 0.873 0.291 0.464
Se: 0.627 0.591 0.918
Se: 0.791 0.327 0.918
Se: 0.209 0.673 0.082
Se: 0.964 0.591 0.173
Se: 0.873 0.582 0.909
Se: 0.582 0.873 0.409
Se: 0.409 0.036 0.327
Se: 0.673 0.464 0.591
Se: 0.127 0.418 0.091
Se: 0.036 0.627 0.709
Se: 0.709 0.582 0.173
Se: 0.627 0.036 0.209
Se: 0.582 0.709 0.673
Se: 0.791 0.464 0.373
Se: 0.918 0.827 0.791
Se: 0.418 0.127 0.591
Se: 0.418 0.291 0.327
Se: 0.591 0.964 0.673
P: 0.125 0.750 0.375
P: 0.000 0.000 0.500
P: 0.375 0.250 0.125
P: 0.000 0.000 0.000
P: 0.000 0.500 0.500
P: 0.625 0.750 0.875
P: 0.250 0.375 0.625
P: 0.000 0.500 0.000
P: 0.875 0.250 0.625
P: 0.750 0.625 0.375
P: 0.625 0.875 0.250
P: 0.875 0.625 0.750
P: 0.750 0.125 0.875
P: 0.500 0.000 0.000
P: 0.500 0.000 0.500
P: 0.500 0.500 0.000
P: 0.250 0.875 0.125
P: 0.500 0.500 0.500
P: 0.125 0.375 0.250
P: 0.375 0.125 0.750
Tb: 0.375 0.750 0.625
Tb: 0.625 0.375 0.750
Tb: 0.125 0.250 0.875
Tb: 0.125 0.875 0.750
Tb: 0.750 0.375 0.125
Tb: 0.875 0.750 0.125
Tb: 0.750 0.875 0.625
Tb: 0.875 0.125 0.250
Tb: 0.250 0.125 0.375
Tb: 0.375 0.625 0.250
Tb: 0.625 0.250 0.375
Tb: 0.250 0.625 0.875

E_tot	-4.661	eV/atom
energy relative to the elements, uncorrected	-0.524	eV per atom
density	5.20	g/cm3



[4]
First-principles (PBE-GGA) data for a relaxed Tb4P3Se crystal, as listed in Alexandria.

a = 5.717 Å, b = 5.717 Å, c = 5.717 Å
α = 90.00°, β = 90.00°, γ = 90.00°
Positions (direct):
Tb: 0.500 0.500 0.500
Tb: 0.000 0.000 0.500
Tb: 0.000 0.500 0.000
Tb: 0.500 0.000 0.000
P: 0.000 0.500 0.500
P: 0.500 0.000 0.500
P: 0.500 0.500 0.000
Se: 0.000 0.000 0.000

E_tot	-6.477	eV/atom
energy relative to the elements, uncorrected	-1.698	eV per atom
density	7.18	g/cm3
ΔE to the lowest computed polymorph	0.12	eV/f.u.



[5]
First-principles (PBE-GGA) data for a relaxed Tb4PSe3 crystal, as listed in Alexandria.

a = 4.056 Å, b = 7.092 Å, c = 7.092 Å
α = 109.09°, β = 90.00°, γ = 90.00°
Positions (direct):
Se: 0.500 0.500 0.500
Se: 0.000 0.500 0.000
Se: 0.000 0.000 0.500
Tb: 0.000 0.231 0.231
Tb: 0.500 0.238 0.762
Tb: 0.500 0.762 0.238
Tb: 0.000 0.769 0.769
P: 0.500 0.000 0.000

E_tot	-6.099	eV/atom
energy relative to the elements, uncorrected	-1.801	eV per atom
density	7.78	g/cm3



[6]
First-principles (PBE-GGA) data for a relaxed Tb2PSe crystal, as listed in Alexandria.

a = 4.043 Å, b = 5.732 Å, c = 8.206 Å
α = 90.00°, β = 90.00°, γ = 90.00°
Positions (direct):
Tb: 0.500 0.500 0.147
Tb: 0.500 0.500 0.611
Tb: 0.000 0.000 0.389
Tb: 0.000 0.000 0.853
Se: 0.000 0.500 0.880
Se: 0.500 0.000 0.120
P: 0.000 0.500 0.375
P: 0.500 0.000 0.625

E_tot	-6.326	eV/atom
energy relative to the elements, uncorrected	-1.788	eV per atom
density	7.47	g/cm3
ΔE to the lowest computed polymorph	0.02	eV/f.u.



[7]
First-principles (PBE-GGA) data for a relaxed Tb4P3Se crystal, as listed in Alexandria.

a = 5.720 Å, b = 5.720 Å, c = 7.004 Å
α = 114.10°, β = 114.10°, γ = 90.00°
Positions (direct):
P: 0.250 0.750 0.500
P: 0.750 0.250 0.500
P: 0.500 0.500 0.000
Tb: 0.500 0.000 0.000
Tb: 0.000 0.500 0.000
Tb: 0.743 0.743 0.486
Tb: 0.257 0.257 0.514
Se: 0.000 0.000 0.000

E_tot	-6.492	eV/atom
energy relative to the elements, uncorrected	-1.713	eV per atom
density	7.17	g/cm3
ΔE to the lowest computed polymorph	0.00	eV/f.u.



[8]
First-principles (PBE-GGA) data for a relaxed Tb2PSe crystal, as listed in Alexandria.

a = 4.025 Å, b = 6.939 Å, c = 7.039 Å
α = 90.00°, β = 90.00°, γ = 90.00°
Positions (direct):
Tb: 0.750 0.503 0.768
Tb: 0.250 0.497 0.232
Tb: 0.750 0.997 0.768
Tb: 0.250 0.003 0.232
P: 0.750 0.250 0.085
P: 0.250 0.750 0.915
Se: 0.750 0.750 0.420
Se: 0.250 0.250 0.580

E_tot	-6.186	eV/atom
energy relative to the elements, uncorrected	-1.648	eV per atom
density	7.23	g/cm3
ΔE to the lowest computed polymorph	0.58	eV/f.u.



[9]
First-principles (PBE-GGA) data for a relaxed Tb5P2Se2 crystal, as listed in Alexandria.

a = 7.589 Å, b = 8.147 Å, c = 8.147 Å
α = 124.74°, β = 90.00°, γ = 90.00°
Positions (direct):
Tb: 0.844 0.788 0.527
Tb: 0.000 0.000 0.000
Tb: 0.344 0.712 0.973
Tb: 0.656 0.027 0.288
Tb: 0.656 0.288 0.027
Tb: 0.156 0.473 0.212
Tb: 0.844 0.527 0.788
Tb: 0.500 0.500 0.500
Tb: 0.344 0.973 0.712
Tb: 0.156 0.212 0.473
Se: 0.000 0.801 0.199
Se: 0.500 0.699 0.301
Se: 0.000 0.199 0.801
Se: 0.500 0.301 0.699
P: 0.855 0.353 0.353
P: 0.645 0.853 0.853
P: 0.145 0.647 0.647
P: 0.355 0.147 0.147

E_tot	-5.952	eV/atom
energy relative to the elements, uncorrected	-1.403	eV per atom
density	8.14	g/cm3



[10]
First-principles (PBE-GGA) data for a relaxed Tb2PSe crystal, as listed in Alexandria.

a = 3.985 Å, b = 3.985 Å, c = 7.377 Å
α = 74.33°, β = 74.33°, γ = 60.00°
Positions (direct):
P: 0.668 0.668 0.996
Tb: 0.259 0.259 0.223
Tb: 0.074 0.074 0.777
Se: 0.499 0.499 0.504

E_tot	-6.265	eV/atom
energy relative to the elements, uncorrected	-1.726	eV per atom
density	7.37	g/cm3
ΔE to the lowest computed polymorph	0.27	eV/f.u.



[11]
First-principles (PBE-GGA) data for a relaxed TbP2Se6 crystal, as listed in Alexandria.

a = 6.654 Å, b = 6.654 Å, c = 8.432 Å
α = 66.76°, β = 66.76°, γ = 60.00°
Positions (direct):
Se: 0.277 0.573 0.244
Se: 0.741 0.436 0.757
Se: 0.906 0.277 0.244
Se: 0.573 0.906 0.244
Se: 0.436 0.066 0.757
Se: 0.066 0.741 0.757
P: 0.615 0.615 0.154
P: 0.718 0.718 0.847
Tb: 0.334 0.334 0.999

E_tot	-4.520	eV/atom
energy relative to the elements, uncorrected	-0.481	eV per atom
density	4.01	g/cm3



[12]
First-principles (PBE-GGA) data for a relaxed Tb8P6Se crystal, as listed in Alexandria.

a = 4.164 Å, b = 10.281 Å, c = 10.281 Å
α = 120.00°, β = 90.00°, γ = 90.00°
Positions (direct):
Tb: 0.253 0.667 0.333
Tb: 0.260 0.655 0.967
Tb: 0.740 0.345 0.033
Tb: 0.740 0.688 0.655
Tb: 0.740 0.967 0.312
Tb: 0.260 0.312 0.345
Tb: 0.260 0.033 0.688
Tb: 0.747 0.333 0.667
P: 0.757 0.659 0.136
P: 0.243 0.341 0.864
P: 0.757 0.477 0.341
P: 0.243 0.136 0.477
P: 0.757 0.864 0.523
P: 0.243 0.523 0.659
Se: 0.500 0.000 0.000

E_tot	-6.143	eV/atom
energy relative to the elements, uncorrected	-1.278	eV per atom
density	6.69	g/cm3



[13]
First-principles (PBE-GGA) data for a relaxed Tb4Te2PSe crystal, as listed in Alexandria.

a = 4.159 Å, b = 7.229 Å, c = 7.473 Å
α = 108.68°, β = 90.00°, γ = 90.00°
Positions (direct):
Tb: 0.500 0.775 0.790
Tb: 0.000 0.249 0.786
Tb: 0.000 0.751 0.214
Tb: 0.500 0.225 0.210
P: 0.000 0.000 0.000
Se: 0.500 0.500 0.000
Te: 0.000 0.500 0.500
Te: 0.500 0.000 0.500

E_tot	-5.796	eV/atom
energy relative to the elements, uncorrected	-1.583	eV per atom
density	7.81	g/cm3



[14]
First-principles (PBE-GGA) data for a relaxed Tb6TeP3Se2 crystal, as listed in Alexandria.

a = 4.076 Å, b = 8.308 Å, c = 9.258 Å
α = 104.53°, β = 102.72°, γ = 90.00°
Positions (direct):
Tb: 0.676 0.073 0.352
Tb: 0.338 0.405 0.676
Tb: 0.005 0.726 0.009
Tb: 0.662 0.595 0.324
Tb: 0.995 0.274 0.991
Tb: 0.324 0.927 0.648
P: 0.500 0.500 0.000
P: 0.834 0.169 0.669
P: 0.166 0.831 0.331
Se: 0.833 0.667 0.665
Se: 0.167 0.333 0.335
Te: 0.500 0.000 0.000

E_tot	-6.215	eV/atom
energy relative to the elements, uncorrected	-1.705	eV per atom
density	7.48	g/cm3



[15]
First-principles (PBE-GGA) data for a relaxed Tb6TeP2Se3 crystal, as listed in Alexandria.

a = 4.099 Å, b = 8.314 Å, c = 9.224 Å
α = 102.67°, β = 102.84°, γ = 90.00°
Positions (direct):
Se: 0.161 0.836 0.322
Se: 0.839 0.164 0.678
Se: 0.500 0.500 0.000
Tb: 0.324 0.886 0.648
Tb: 0.327 0.427 0.655
Tb: 0.988 0.725 0.976
Tb: 0.673 0.573 0.345
Tb: 0.676 0.114 0.352
Tb: 0.012 0.275 0.024
Te: 0.500 0.000 0.000
P: 0.831 0.663 0.662
P: 0.169 0.337 0.338

E_tot	-6.057	eV/atom
energy relative to the elements, uncorrected	-1.707	eV per atom
density	7.67	g/cm3



[16]
First-principles (PBE-GGA) data for a relaxed Tb4TePSe2 crystal, as listed in Alexandria.

a = 4.120 Å, b = 7.128 Å, c = 7.337 Å
α = 70.92°, β = 90.00°, γ = 90.00°
Positions (direct):
Se: 0.000 0.000 0.000
Se: 0.500 0.000 0.500
Tb: 0.500 0.737 0.278
Tb: 0.000 0.245 0.282
Tb: 0.500 0.263 0.722
Tb: 0.000 0.755 0.718
Te: 0.500 0.500 0.000
P: 0.000 0.500 0.500

E_tot	-5.913	eV/atom
energy relative to the elements, uncorrected	-1.657	eV per atom
density	7.76	g/cm3



[17]
First-principles (PBE-GGA) data for a relaxed Tb8Tl3PSe3 crystal, as listed in Alexandria.

a = 7.960 Å, b = 7.968 Å, c = 9.023 Å
α = 116.23°, β = 89.98°, γ = 120.00°
Positions (direct):
Tl: 0.000 0.500 0.000
Tl: 0.500 0.500 0.000
Tl: 0.000 0.000 0.000
Tb: 0.259 0.519 0.279
Tb: 0.750 0.982 0.714
Tb: 0.768 0.536 0.286
Tb: 0.741 0.481 0.721
Tb: 0.232 0.982 0.714
Tb: 0.232 0.464 0.714
Tb: 0.250 0.018 0.286
Tb: 0.768 0.018 0.286
Se: 0.500 0.500 0.500
Se: 0.500 0.000 0.500
Se: 0.000 0.500 0.500
P: 0.000 0.000 0.500

E_tot	-5.018	eV/atom
energy relative to the elements, uncorrected	-1.017	eV per atom
density	8.39	g/cm3



[18]
First-principles (PBE-GGA) data for a relaxed Tb4TlPSe2 crystal, as listed in Alexandria.

a = 4.079 Å, b = 7.303 Å, c = 7.249 Å
α = 108.63°, β = 90.00°, γ = 90.00°
Positions (direct):
Tb: 0.000 0.765 0.254
Tb: 0.000 0.235 0.746
Tb: 0.500 0.767 0.763
Tb: 0.500 0.233 0.237
P: 0.000 0.000 0.000
Se: 0.500 0.000 0.500
Se: 0.000 0.500 0.500
Tl: 0.500 0.500 0.000

E_tot	-5.510	eV/atom
energy relative to the elements, uncorrected	-1.352	eV per atom
density	8.35	g/cm3



[19]
First-principles (PBE-GGA) data for a relaxed Tb6TlP2Se3 crystal, as listed in Alexandria.

a = 4.073 Å, b = 8.396 Å, c = 9.247 Å
α = 103.07°, β = 102.72°, γ = 90.00°
Positions (direct):
Tb: 0.994 0.736 0.988
Tb: 0.672 0.572 0.345
Tb: 0.329 0.897 0.658
Tb: 0.328 0.428 0.655
Tb: 0.671 0.103 0.342
Tb: 0.006 0.264 0.012
P: 0.832 0.663 0.663
P: 0.168 0.337 0.337
Se: 0.500 0.500 0.000
Se: 0.834 0.169 0.668
Se: 0.166 0.831 0.332
Tl: 0.500 0.000 0.000

E_tot	-5.786	eV/atom
energy relative to the elements, uncorrected	-1.501	eV per atom
density	8.06	g/cm3